No. 1
Computed, not measured: Re5Te after structural relaxation at the GGA-PBE level of DFT.

The space group is Cm (No. 8) and the conventional cell measures 10.4079, 2.9336 and 6.6353 Å, with angles of 90.00, 107.13 and 90.00 degrees. The asymmetric unit holds Re at (0.0000, 0.0000, 0.0000), Re at (0.0474, 0.0000, 0.6414), Re at (0.1243, 0.5000, 0.3577), Re at (0.2108, 0.5000, 0.9477), Re at (0.3210, 0.0000, 0.6798) and Te at (0.3553, 0.0000, 0.2870).

The value obtained for the polymorph energy (0 for the lowest one) is 0.0 kJ/mol of atoms. The calculation puts the mass density at 18.159 g/cm³. The calculation puts the magnetic moment at 0.00 μB per formula unit. As for the formation energy from raw total energies: 0.38 eV/atom. The value obtained for the density of states at the Fermi level is 0.760 states/eV per atom.



No. 2
Computed, not measured: CdHg4Pd15 after structural relaxation at the GGA-PBE level of DFT.

The space group is P4/mmm (No. 123) and the conventional cell measures 4.0612, 4.0612 and 20.0756 Å, with angles of 90.00, 90.00 and 90.00 degrees. The asymmetric unit holds Cd at (0.0000, 0.0000, 0.0000), Hg at (0.0000, 0.0000, 0.1994), Hg at (0.0000, 0.0000, 0.3998), Pd at (0.0000, 0.5000, 0.0990), Pd at (0.0000, 0.5000, 0.2995), Pd at (0.0000, 0.5000, 0.5000), Pd at (0.5000, 0.5000, 0.0000), Pd at (0.5000, 0.5000, 0.1990) and Pd at (0.5000, 0.5000, 0.3997).

The calculation puts the mass density at 12.593 g/cm³. The calculation puts the magnetic moment at 0.00 μB per formula unit. The calculation puts the formation enthalpy at 0 K at -2.633 eV/f.u. The value obtained for the density of states at the Fermi level is 1.386 states/eV per atom.



No. 3
Computed, not measured: Na2TlSnBr5 after structural relaxation at the GGA-PBE level of DFT.

The space group is Cmc2_1 (No. 36) and the conventional cell measures 4.5496, 18.8716 and 15.2094 Å, with angles of 90.00, 90.00 and 90.00 degrees. The asymmetric unit holds Na at (0.0000, 0.1348, 0.0000), Na at (0.0000, 0.1771, 0.5234), Tl at (0.0000, 0.2493, 0.2606), Sn at (0.0000, 0.4882, 0.7509), Br at (0.0000, 0.0743, 0.3399), Br at (0.0000, 0.2692, 0.9159), Br at (0.0000, 0.3306, 0.6207), Br at (0.0000, 0.3930, 0.1216) and Br at (0.0000, 0.4123, 0.3821).

The calculation puts the mass density at 3.909 g/cm³. The calculation puts the magnetic moment at 0.00 μB per formula unit. As for the formation energy from raw total energies: -1.08 eV/atom. The value obtained for the density of states at the Fermi level is 0.000 states/eV per atom.